Compound: LiTb2Ag6
Source: Alexandria via LeMat-Bulk
Functional: GGA-PBE
Structure: optimized geometry

For the offset from the most stable computed form, the calculation gives 22 meV/atom. Its crystal system is monoclinic. The calculation puts the raw total energy at -3.297 eV per atom. The density of states at the Fermi level comes out at 0.635 states/eV/atom.

The space group is C2/m (No. 12) and the conventional cell measures 14.397, 8.315 and 3.220 Å, with angles of 90.00, 90.10 and 90.00 degrees. The distinct sites, in fractional coordinates, are Li at (0.000, 0.000, 0.000), Tb at (0.167, 0.500, 0.000), Ag at (0.000, 0.331, 0.500) and Ag at (0.165, 0.165, 0.499).